Record 1
# GaAgPtPb2

An optimized crystal structure of GaAgPtPb2 (PBE-GGA, Alexandria via LeMat-Bulk).

Calculated values
- Formation enthalpy at 0 K: -92 meV/atom

abc: 10.2210 10.2210 10.2210
angles: 161.04 161.04 26.94
With the nearest neighbours (Å) after each atom.
Sites, in units of the cell vectors:
Ga 0.0000 0.0000 0.0000  4 Pt 2.58, 1 Ag 2.78
Ag 0.8599 0.8599 0.0000  1 Ga 2.78, 4 Pt 2.97, 4 Pb 3.09
Pt 0.4495 0.4495 0.0000  4 Ga 2.58
Pb 0.2605 0.2605 0.0000  4 Ag 3.09, 4 Pb 3.37
Pb 0.6099 0.6099 0.0000  1 Pt 3.19, 4 Ga 3.23, 4 Pb 3.37

Record 2
# YCuSb2

An optimized crystal structure of YCuSb2 (PBE-GGA, Alexandria via LeMat-Bulk).

Calculated values
- E_form (uncorrected): -622 meV/atom

abc: 4.3300 4.3300 9.8236
angles: 90.00 90.00 90.00
With the nearest neighbours (Å) after each atom.
Sites, in units of the cell vectors:
Y 0.2500 0.2500 0.2491  8 Sb 3.19-3.27, 4 Cu 3.28
Y 0.7500 0.7500 0.7509  8 Sb 3.19-3.27, 4 Cu 3.28
Cu 0.2500 0.7500 0.5000  4 Sb 2.68
Cu 0.7500 0.2500 0.5000  4 Sb 2.68
Sb 0.2500 0.2500 0.6606  4 Cu 2.68
Sb 0.2500 0.7500 0.0000  4 Sb 3.06, 4 Y 3.27
Sb 0.7500 0.2500 0.0000  4 Sb 3.06, 4 Y 3.27
Sb 0.7500 0.7500 0.3394  4 Cu 2.68

Record 3
# RbCeSe2

An optimized crystal structure of RbCeSe2 (PBE-GGA, Alexandria via LeMat-Bulk).

Calculated values
- E_form (uncorrected): -1670 meV/atom

abc: 8.3779 8.3779 8.3779
angles: 30.53 30.53 30.53
With the nearest neighbours (Å) after each atom.
Sites, in units of the cell vectors:
Rb 0.0000 0.0000 0.0000  6 Se 3.50
Ce 0.5000 0.5000 0.5000  6 Se 3.00
Se 0.2332 0.2332 0.2332  3 Ce 3.00
Se 0.7668 0.7668 0.7668  3 Ce 3.00

Record 4
# Al2Ni9Sb

An optimized crystal structure of Al2Ni9Sb (PBE-GGA, Alexandria via LeMat-Bulk).

Calculated values
- E_form (uncorrected): -342 meV/atom

abc: 3.6318 3.6318 10.7979
angles: 90.00 90.00 90.00
With the nearest neighbours (Å) after each atom.
Sites, in units of the cell vectors:
Al 0.0000 0.0000 0.1592  12 Ni 2.50-2.57
Al 0.0000 0.0000 0.8408  12 Ni 2.50-2.57
Ni 0.0000 0.5000 0.0000  4 Al 2.50, 8 Ni 2.53-2.57
Ni 0.0000 0.5000 0.3228  8 Ni 2.51-2.64, 2 Al 2.53, 2 Sb 2.64
Ni 0.0000 0.5000 0.6772  8 Ni 2.51-2.64, 2 Al 2.53, 2 Sb 2.64
Ni 0.5000 0.0000 0.0000  4 Al 2.50, 8 Ni 2.53-2.57
Ni 0.5000 0.0000 0.3228  8 Ni 2.51-2.64, 2 Al 2.53, 2 Sb 2.64
Ni 0.5000 0.0000 0.6772  8 Ni 2.51-2.64, 2 Al 2.53, 2 Sb 2.64
Ni 0.5000 0.5000 0.1625  8 Ni 2.51-2.53, 4 Al 2.57
Ni 0.5000 0.5000 0.5000  4 Sb 2.57, 8 Ni 2.64
Ni 0.5000 0.5000 0.8375  8 Ni 2.51-2.53, 4 Al 2.57
Sb 0.0000 0.0000 0.5000  12 Ni 2.57-2.64

Record 5
# Tl3HgSe

An optimized crystal structure of Tl3HgSe (PBE-GGA, Alexandria via LeMat-Bulk).

Calculated values
- E_form (uncorrected): -170 meV/atom

abc: 4.1763 8.0362 9.5319
angles: 86.38 82.34 83.24
With the nearest neighbours (Å) after each atom.
Sites, in units of the cell vectors:
Tl 0.0634 0.3776 0.1579  3 Se 3.08-3.36, 1 Hg 3.36, 1 Tl 3.41
Tl 0.2435 0.0254 0.8112  3 Se 3.07-3.18, 1 Hg 3.38
Tl 0.3603 0.6291 0.3731  1 Se 3.11, 2 Hg 3.20-3.32, 2 Tl 3.33-3.41
Tl 0.6397 0.3709 0.6269  1 Se 3.11, 2 Hg 3.20-3.32, 2 Tl 3.33-3.41
Tl 0.7565 0.9746 0.1888  3 Se 3.07-3.18, 1 Hg 3.38
Tl 0.9366 0.6224 0.8421  3 Se 3.08-3.36, 1 Hg 3.36, 1 Tl 3.41
Hg 0.2207 0.1455 0.4520  2 Hg 3.16-3.28, 5 Tl 3.20-3.51
Hg 0.7793 0.8545 0.5480  2 Hg 3.16-3.28, 5 Tl 3.20-3.51
Se 0.3517 0.7451 0.0563  7 Tl 3.07-3.36
Se 0.6483 0.2549 0.9437  7 Tl 3.07-3.36

Record 6
# Pm2SnP2N6

An optimized crystal structure of Pm2SnP2N6 (PBE-GGA, Alexandria via LeMat-Bulk).

Calculated values
- E_form (uncorrected): -588 meV/atom

abc: 5.7957 6.1021 6.5075
angles: 115.01 100.57 108.15
With the nearest neighbours (Å) after each atom.
Sites, in units of the cell vectors:
Pm 0.2128 0.1129 0.3212  5 N 2.41-2.53
Pm 0.7872 0.8871 0.6788  5 N 2.41-2.53
Sn 0.5000 0.5000 0.0000  4 N 2.50-2.51
P 0.0510 0.5098 0.2632  3 N 1.58-1.60
P 0.9490 0.4902 0.7368  3 N 1.58-1.60
N 0.0628 0.2750 0.6677  1 P 1.58
N 0.1257 0.8038 0.9023  1 P 1.58
N 0.3590 0.6051 0.3575  1 P 1.60
N 0.6410 0.3949 0.6425  1 P 1.60
N 0.8743 0.1962 0.0977  1 P 1.58
N 0.9372 0.7250 0.3323  1 P 1.58

Record 7
# CaTbPr

An optimized crystal structure of CaTbPr (PBE-GGA, Alexandria via LeMat-Bulk).

Calculated values
- Formation enthalpy at 0 K: 29 meV/atom

abc: 3.6974 3.6974 15.9554
angles: 90.00 90.00 90.00
With the nearest neighbours (Å) after each atom.
Sites, in units of the cell vectors:
Ca 0.2500 0.2500 0.0924  8 Ca 3.70-3.94, 4 Pr 3.84
Ca 0.7500 0.7500 0.9076  8 Ca 3.70-3.94, 4 Pr 3.84
Tb 0.2500 0.2500 0.4218  4 Pr 3.58, 8 Tb 3.61-3.70
Tb 0.7500 0.7500 0.5782  4 Pr 3.58, 8 Tb 3.61-3.70
Pr 0.2500 0.2500 0.7316  4 Tb 3.58, 4 Pr 3.70, 4 Ca 3.84
Pr 0.7500 0.7500 0.2684  4 Tb 3.58, 4 Pr 3.70, 4 Ca 3.84

Record 8
# BaCeY2

An optimized crystal structure of BaCeY2 (PBE-GGA, Alexandria via LeMat-Bulk).

Calculated values
- Formation enthalpy at 0 K: 253 meV/atom

abc: 12.8951 12.8951 12.8951
angles: 16.05 16.05 16.05
With the nearest neighbours (Å) after each atom.
Sites, in units of the cell vectors:
Ba 0.0000 0.0000 0.0000  6 Ba 3.60, 2 Y 3.62
Ce 0.5000 0.5000 0.5000  6 Y 3.44, 6 Ce 3.60
Y 0.0948 0.0948 0.0948  3 Ce 3.44, 6 Y 3.60, 1 Ba 3.62
Y 0.9052 0.9052 0.9052  3 Ce 3.44, 6 Y 3.60, 1 Ba 3.62

Record 9
# Ag3Pd3Pt

An optimized crystal structure of Ag3Pd3Pt (PBE-GGA, Alexandria via LeMat-Bulk).

Calculated values
- Formation enthalpy at 0 K: 136 meV/atom

abc: 5.4350 5.4350 5.4350
angles: 108.88 108.88 108.88
With the nearest neighbours (Å) after each atom.
Sites, in units of the cell vectors:
Ag 0.1761 0.1761 0.6477  6 Pd 2.72-2.83, 1 Pt 2.92
Ag 0.1761 0.6477 0.1761  6 Pd 2.72-2.83, 1 Pt 2.92
Ag 0.6477 0.1761 0.1761  6 Pd 2.72-2.83, 1 Pt 2.92
Pd 0.1587 0.6789 0.6789  2 Pt 2.72-2.74, 6 Ag 2.72-2.83
Pd 0.6789 0.1587 0.6789  2 Pt 2.72-2.74, 6 Ag 2.72-2.83
Pd 0.6789 0.6789 0.1587  2 Pt 2.72-2.74, 6 Ag 2.72-2.83
Pt 0.6291 0.6291 0.6291  6 Pd 2.72-2.74, 3 Ag 2.92

Record 10
# TiCdH2

An optimized crystal structure of TiCdH2 (PBE-GGA, Alexandria via LeMat-Bulk).

Calculated values
- Electronic total energy: -13.94 eV per cell

abc: 3.9307 3.9307 3.9307
angles: 60.00 60.00 60.00
With the nearest neighbours (Å) after each atom.
Sites, in units of the cell vectors:
Ti 0.0000 0.0000 0.0000  8 H 2.41
Cd 0.5000 0.5000 0.5000  8 H 2.41
H 0.2500 0.2500 0.2500  4 Cd 2.41, 4 Ti 2.41
H 0.7500 0.7500 0.7500  4 Cd 2.41, 4 Ti 2.41

Record 11
# CaNbF3

An optimized crystal structure of CaNbF3 (PBE-GGA, Alexandria via LeMat-Bulk).

Calculated values
- E_form (uncorrected): -1883 meV/atom

abc: 4.3391 4.3391 4.3391
angles: 90.00 90.00 90.00
With the nearest neighbours (Å) after each atom.
Sites, in units of the cell vectors:
Ca 0.0000 0.0000 0.0000  12 F 3.07
Nb 0.5000 0.5000 0.5000  6 F 2.17
F 0.0000 0.5000 0.5000  2 Nb 2.17
F 0.5000 0.0000 0.5000  2 Nb 2.17
F 0.5000 0.5000 0.0000  2 Nb 2.17

Record 12
# HfMg2AlH

An optimized crystal structure of HfMg2AlH (PBE-GGA, Alexandria via LeMat-Bulk).

Calculated values
- Electronic total energy: -20.74 eV per cell

abc: 4.2743 4.2743 4.3422
angles: 90.00 90.00 90.00
With the nearest neighbours (Å) after each atom.
Sites, in units of the cell vectors:
Hf 0.0000 0.0000 0.0000  2 H 2.17
Mg 0.0000 0.5000 0.5000  2 H 2.14
Mg 0.5000 0.0000 0.5000  2 H 2.14
Al 0.5000 0.5000 0.0000  4 Hf 3.02, 8 Mg 3.05
H 0.0000 0.0000 0.5000  4 Mg 2.14, 2 Hf 2.17